## KCu3 (SCAN)

Data for a crystal of KCu3 relaxed with PBEsol.

The energy relative to the elements is 632 meV/atom.

Cell lengths 2.7812, 2.7812, 9.2107 Å; angles 90.00, 90.00, 120.00 degrees
With the nearest neighbours (Å) after each atom.
Fractional coordinates of all 4 atoms:
Cu1 0.3333 0.6667 0.0000  6 Cu 2.48
Cu2 0.0000 0.0000 0.7954  3 Cu 2.48
Cu3 0.0000 0.0000 0.2046  3 Cu 2.48
K1 0.3333 0.6667 0.5000  6 K 2.78

## YTe (SCAN)

Data for a crystal of YTe relaxed with PBEsol.

The formation energy from raw total energies is -1.452 eV/atom.

Cell lengths 4.2968, 4.2968, 4.2968 Å; angles 60.00, 60.00, 60.00 degrees
With the nearest neighbours (Å) after each atom.
Fractional coordinates of all 2 atoms:
Te1 0.5000 0.5000 0.5000  6 Y 3.04
Y1 0.0000 0.0000 0.0000  6 Te 3.04

no.,E_tot (eV/atom),magnetization (μB/f.u.)
1,-12.849,0.00
2,-33.998,0.00